[1]
A relaxed Cu3Pd4Pt5 crystal. Source: Alexandria via LeMat-Bulk, functional GGA-PBE.

Geometry as extended XYZ:
```
12
Lattice="4.961 -2.357 0.000 4.961 2.357 0.000 -0.011 0.000 8.053" Properties=species:S:1:pos:R:3 pbc="T T T"
Cu 0.000 0.000 0.000
Cu 3.818 0.000 2.156
Cu 6.094 0.000 5.898
Pd 1.332 0.000 2.013
Pd 2.406 0.000 7.238
Pd 7.505 0.000 0.816
Pd 8.579 0.000 6.040
Pt 1.115 0.000 4.779
Pt 3.768 0.000 4.734
Pt 4.961 0.000 0.000
Pt 6.143 0.000 3.320
Pt 8.797 0.000 3.274
```

Results
Energy, eV/atom: -5.086
Density of states at the Fermi level, states/eV/atom: 1.11
DFT formation energy, meV/atom: 186
SG: C2/m, No. 12

***

[2]
A relaxed Ba3In crystal. Source: Alexandria via LeMat-Bulk, functional GGA-PBE.

Geometry as extended XYZ:
```
32
Lattice="14.588 0.000 0.000 0.000 14.588 0.000 0.000 0.000 7.598" Properties=species:S:1:pos:R:3 pbc="T T T"
Ba 0.407 8.650 1.768
Ba 1.356 14.181 5.568
Ba 1.696 2.992 0.207
Ba 1.794 9.684 5.542
Ba 2.390 12.794 1.743
Ba 2.992 5.598 3.592
Ba 4.302 1.696 3.592
Ba 4.904 9.088 1.743
Ba 5.500 12.198 5.542
Ba 5.598 4.302 0.207
Ba 5.938 7.702 5.568
Ba 6.887 13.232 1.768
Ba 7.702 1.356 5.830
Ba 8.650 6.887 2.031
Ba 8.990 10.286 7.391
Ba 9.088 2.390 2.056
Ba 9.684 5.500 5.855
Ba 10.286 12.892 4.006
Ba 11.596 8.990 4.006
Ba 12.198 1.794 5.855
Ba 12.794 4.904 2.056
Ba 12.892 11.596 7.391
Ba 13.232 0.407 2.031
Ba 14.181 5.938 5.830
In 0.711 2.789 3.964
In 2.789 6.583 7.433
In 4.506 0.711 7.433
In 6.583 4.506 3.964
In 8.005 10.083 3.634
In 10.083 13.877 0.165
In 11.800 8.005 0.165
In 13.877 11.800 3.634
```

Results
Energy, eV/atom: -2.319
Density of states at the Fermi level, states/eV/atom: 1.91
DFT formation energy, meV/atom: -192
SG: P4_2/n, No. 86

***

[3]
A relaxed CdW2Br crystal. Source: Alexandria via LeMat-Bulk, functional GGA-PBE.

Geometry as extended XYZ:
```
4
Lattice="5.032 -1.515 0.000 5.032 1.515 0.000 -0.979 0.000 4.811" Properties=species:S:1:pos:R:3 pbc="T T T"
Cd 0.000 0.000 0.000
W 1.768 0.000 3.641
W 7.316 0.000 1.170
Br 4.542 0.000 2.406
```

Results
Offset from the most stable computed form, eV/atom: 0.676
Energy, eV/atom: -6.062
Energy relative to the elements, uncorrected, meV/atom: 1062
Density of states at the Fermi level, states/eV/atom: 0.64
SG: C2/m, No. 12

***

[4]
A relaxed Th7MnI12 crystal. Source: Alexandria via LeMat-Bulk, functional GGA-PBE.

Geometry as extended XYZ:
```
20
Lattice="8.275 4.777 3.338 -8.275 4.777 3.338 0.000 -9.555 3.338" Properties=species:S:1:pos:R:3 pbc="T T T"
Th 0.000 0.000 0.000
Th -1.539 -1.532 3.395
Th -0.557 2.099 3.395
Th 2.096 -0.567 3.395
Th -2.096 0.567 6.619
Th 0.557 -2.099 6.619
Th 1.539 1.532 6.619
Mn 0.000 0.000 5.007
I -2.795 0.759 1.494
I 0.740 -2.799 1.494
I -4.346 -1.128 4.957
I -1.196 -4.328 5.057
I 2.054 2.041 1.494
I -3.150 3.200 5.057
I 3.150 -3.200 4.957
I -2.054 -2.041 8.520
I 1.196 4.328 4.957
I 4.346 1.128 5.057
I -0.740 2.800 8.520
I 2.795 -0.759 8.520
```

Results
Energy, eV/atom: -4.920
Energy relative to the elements, uncorrected, meV/atom: -935
Density of states at the Fermi level, states/eV/atom: 0.26
SG: R-3, No. 148

***

[5]
A relaxed Cs2Na2Te crystal. Source: Alexandria via LeMat-Bulk, functional GGA-PBE.

Geometry as extended XYZ:
```
10
Lattice="9.658 0.000 0.000 0.000 9.658 0.000 0.000 0.000 7.219" Properties=species:S:1:pos:R:3 pbc="T T T"
Cs 1.555 3.274 0.000
Cs 3.274 8.104 0.000
Cs 6.384 1.555 0.000
Cs 8.104 6.384 0.000
Na 1.243 6.072 3.610
Na 3.586 1.243 3.610
Na 6.072 8.415 3.610
Na 8.415 3.586 3.610
Te 0.000 0.000 0.000
Te 4.829 4.829 0.000
```

Results
Offset from the most stable computed form, eV/atom: 0.158
Energy, eV/atom: -1.753
Energy relative to the elements, uncorrected, meV/atom: -256
Density of states at the Fermi level, states/eV/atom: 0.00
SG: P4/mbm, No. 127

***

[6]
A relaxed LaSc2Cu crystal. Source: Alexandria via LeMat-Bulk, functional GGA-PBE.

Geometry as extended XYZ:
```
4
Lattice="5.114 0.000 0.000 0.000 3.613 0.000 -0.015 0.000 5.162" Properties=species:S:1:pos:R:3 pbc="T T T"
La 0.000 0.000 0.000
Sc 2.549 0.000 2.581
Sc 2.557 1.807 0.000
Cu -0.008 1.807 2.581
```

Results
Offset from the most stable computed form, eV/atom: 0.181
Energy, eV/atom: -5.319
Density of states at the Fermi level, states/eV/atom: 1.49
DFT formation energy, meV/atom: 103
SG: P2/m, No. 10

***

[7]
A relaxed LiAgGePt crystal. Source: Alexandria via LeMat-Bulk, functional GGA-PBE.

Geometry as extended XYZ:
```
4
Lattice="0.000 3.119 3.119 3.119 0.000 3.119 3.119 3.119 0.000" Properties=species:S:1:pos:R:3 pbc="T T T"
Li 0.000 0.000 0.000
Ag 1.560 1.560 1.560
Ge 3.119 3.119 3.119
Pt 4.679 4.679 4.679
```

Results
Energy, eV/atom: -4.195
Density of states at the Fermi level, states/eV/atom: 0.62
DFT formation energy, meV/atom: -339
SG: F-43m, No. 216

***

[8]
A relaxed SrSe2NF crystal. Source: Alexandria via LeMat-Bulk, functional GGA-PBE.

Geometry as extended XYZ:
```
5
Lattice="6.165 0.000 0.000 0.000 6.165 0.000 0.000 0.000 5.022" Properties=species:S:1:pos:R:3 pbc="T T T"
Sr 0.000 0.000 0.000
Se 0.000 3.082 0.000
Se 3.082 0.000 0.000
N 0.000 0.000 2.511
F 3.082 3.082 2.511
```

Results
Offset from the most stable computed form, eV/atom: 0.601
Energy, eV/atom: -3.053
Energy relative to the elements, uncorrected, meV/atom: 716
Density of states at the Fermi level, states/eV/atom: 0.64
SG: P4/mmm, No. 123

***

[9]
A relaxed Na2SrGe6 crystal. Source: Alexandria via LeMat-Bulk, functional GGA-PBE.

Geometry as extended XYZ:
```
9
Lattice="7.631 0.000 0.000 -3.816 6.609 0.000 0.000 0.000 4.572" Properties=species:S:1:pos:R:3 pbc="T T T"
Na 0.000 4.406 0.000
Na 3.816 2.203 0.000
Sr 0.000 0.000 0.000
Ge -1.266 2.193 2.286
Ge -2.550 4.416 2.286
Ge 2.532 0.000 2.286
Ge 1.266 2.193 2.286
Ge 5.099 0.000 2.286
Ge 2.550 4.416 2.286
```

Results
Offset from the most stable computed form, eV/atom: 0.005
Energy, eV/atom: -3.653
Density of states at the Fermi level, states/eV/atom: 0.71
DFT formation energy, meV/atom: -95
SG: P6/mmm, No. 191

***

[10]
A relaxed Nd3Y3Sc crystal. Source: Alexandria via LeMat-Bulk, functional GGA-PBE.

Geometry as extended XYZ:
```
14
Lattice="9.619 0.000 0.000 -4.809 8.330 0.000 0.000 0.000 5.709" Properties=species:S:1:pos:R:3 pbc="T T T"
Nd -2.026 5.142 1.427
Nd 1.369 4.004 1.427
Nd 4.152 0.816 4.282
Nd 0.657 7.514 1.427
Nd 3.440 4.326 4.282
Nd 6.835 3.188 4.282
Y -3.405 6.764 4.282
Y 0.654 1.999 4.282
Y 2.058 0.433 1.427
Y 2.751 7.896 4.282
Y 4.155 6.331 1.427
Y 8.214 1.566 1.427
Sc 0.000 5.553 4.282
Sc 4.809 2.777 1.427
```

Results
Offset from the most stable computed form, eV/atom: 0.000
Energy, eV/atom: -5.685
Density of states at the Fermi level, states/eV/atom: 2.04
DFT formation energy, meV/atom: 33
SG: P6_3/m, No. 176

***

[11]
A relaxed SrLi4Pd2 crystal. Source: Alexandria via LeMat-Bulk, functional GGA-PBE.

Geometry as extended XYZ:
```
14
Lattice="7.920 0.000 0.000 0.000 7.920 0.000 0.000 0.000 4.301" Properties=species:S:1:pos:R:3 pbc="T T T"
Sr 0.000 0.000 0.000
Sr 3.960 3.960 2.151
Li 0.754 2.761 2.151
Li 1.199 4.713 0.000
Li 2.761 0.754 2.151
Li 3.206 6.721 0.000
Li 4.713 1.199 0.000
Li 5.158 7.166 2.151
Li 6.721 3.206 0.000
Li 7.166 5.158 2.151
Pd 1.732 6.188 2.151
Pd 2.228 2.228 0.000
Pd 5.692 5.692 0.000
Pd 6.188 1.732 2.151
```

Results
Offset from the most stable computed form, eV/atom: 0.000
Energy, eV/atom: -3.168
Density of states at the Fermi level, states/eV/atom: 0.24
DFT formation energy, meV/atom: -351
SG: P4_2/mnm, No. 136

***

[12]
A relaxed Pr4Nd5Er2 crystal. Source: Alexandria via LeMat-Bulk, functional GGA-PBE.

Geometry as extended XYZ:
```
11
Lattice="-1.775 4.787 11.666 1.775 -4.787 11.666 1.775 4.787 -11.666" Properties=species:S:1:pos:R:3 pbc="T T T"
Pr 0.000 0.000 2.229
Pr 1.775 1.967 0.000
Pr 0.000 2.821 11.666
Pr 0.000 0.000 21.103
Nd 1.775 2.807 -3.559
Nd 1.775 2.807 3.559
Nd 0.000 4.787 0.000
Nd 0.000 1.980 8.107
Nd 0.000 1.980 15.225
Er 0.000 0.000 5.367
Er 0.000 0.000 17.965
```

Results
Offset from the most stable computed form, eV/atom: 0.081
Energy, eV/atom: -4.496
Density of states at the Fermi level, states/eV/atom: 1.43
DFT formation energy, meV/atom: 239
SG: Immm, No. 71

***

[13]
A relaxed SiTe2AuI crystal. Source: Alexandria via LeMat-Bulk, functional GGA-PBE.

Geometry as extended XYZ:
```
5
Lattice="5.477 0.000 0.000 0.000 5.477 0.000 0.000 0.000 5.470" Properties=species:S:1:pos:R:3 pbc="T T T"
Si 0.000 0.000 0.000
Te 0.000 2.739 2.735
Te 2.739 0.000 2.735
Au 2.739 2.739 2.735
I 2.739 2.739 0.000
```

Results
Offset from the most stable computed form, eV/atom: 0.118
Energy, eV/atom: -2.553
Energy relative to the elements, uncorrected, meV/atom: 754
Density of states at the Fermi level, states/eV/atom: 0.81
SG: P4/mmm, No. 123

***

[14]
A relaxed YGaSnCl6 crystal. Source: Alexandria via LeMat-Bulk, functional GGA-PBE.

Geometry as extended XYZ:
```
18
Lattice="6.708 0.000 0.000 0.000 6.708 0.000 0.000 0.000 12.743" Properties=species:S:1:pos:R:3 pbc="T T T"
Y 0.000 0.000 0.000
Y 3.354 3.354 6.371
Ga 0.000 0.000 8.512
Ga 3.354 3.354 2.141
Sn 0.000 0.000 4.260
Sn 3.354 3.354 10.631
Cl 1.229 1.229 2.036
Cl 1.313 1.313 10.826
Cl 1.474 1.474 6.298
Cl 1.880 4.828 12.670
Cl 2.041 4.667 4.454
Cl 2.125 4.583 8.407
Cl 4.583 2.125 8.407
Cl 4.667 2.041 4.454
Cl 4.828 1.880 12.670
Cl 5.235 5.235 6.298
Cl 5.395 5.395 10.826
Cl 5.479 5.479 2.036
```

Results
Energy, eV/atom: -4.226
Energy relative to the elements, uncorrected, meV/atom: -1496
Density of states at the Fermi level, states/eV/atom: 0.00
SG: P4_2nm, No. 102

***

[15]
A relaxed Sm2Cd3Ag crystal. Source: Alexandria via LeMat-Bulk, functional GGA-PBE.

Geometry as extended XYZ:
```
6
Lattice="3.407 0.000 0.000 0.000 5.005 0.000 0.000 0.000 8.675" Properties=species:S:1:pos:R:3 pbc="T T T"
Sm 0.000 0.000 0.000
Sm 0.000 2.503 4.187
Cd 1.704 0.000 5.691
Cd 1.704 2.503 1.376
Cd 1.704 2.503 7.136
Ag 1.704 0.000 2.818
```

Results
Energy, eV/atom: -2.826
Density of states at the Fermi level, states/eV/atom: 0.72
DFT formation energy, meV/atom: -321
SG: Pmm2, No. 25

***

[16]
A relaxed GeHSe crystal. Source: Alexandria via LeMat-Bulk, functional GGA-PBE.

Geometry as extended XYZ:
```
6
Lattice="3.617 0.000 0.000 0.000 6.280 0.000 -1.801 0.000 6.903" Properties=species:S:1:pos:R:3 pbc="T T T"
Ge 0.002 1.570 0.858
Ge 1.814 4.710 6.045
H 0.000 0.000 0.000
H 0.000 3.140 0.000
Se 0.005 4.710 4.460
Se 1.811 1.570 2.442
```

Results
Offset from the most stable computed form, eV/atom: 0.168
Energy, eV/atom: -3.786
Density of states at the Fermi level, states/eV/atom: 0.15
SG: P2_1/m, No. 11

***

[17]
A relaxed Cs2BiSbN crystal. Source: Alexandria via LeMat-Bulk, functional GGA-PBE.

Geometry as extended XYZ:
```
5
Lattice="7.519 0.000 0.000 0.000 7.519 0.000 0.000 0.000 4.074" Properties=species:S:1:pos:R:3 pbc="T T T"
Cs 0.000 3.759 0.000
Cs 3.759 0.000 0.000
Bi 0.000 0.000 2.037
Sb 3.759 3.759 0.000
N 3.759 3.759 2.037
```

Results
Energy, eV/atom: -3.209
Energy relative to the elements, uncorrected, meV/atom: 399
Density of states at the Fermi level, states/eV/atom: 0.92
SG: P4/mmm, No. 123

***

[18]
A relaxed BaCuAs crystal. Source: Alexandria via LeMat-Bulk, functional GGA-PBE.

Geometry as extended XYZ:
```
6
Lattice="4.504 0.000 0.000 0.000 4.505 0.000 0.004 0.000 7.446" Properties=species:S:1:pos:R:3 pbc="T T T"
Ba 0.000 0.000 0.000
Ba 2.254 2.253 2.827
Cu 2.257 4.505 5.137
Cu 4.500 2.250 5.137
As 0.006 4.505 3.768
As 2.253 2.253 6.504
```

Results
Energy, eV/atom: -4.192
Density of states at the Fermi level, states/eV/atom: 0.07
DFT formation energy, meV/atom: -636
SG: P1, No. 1

***

[19]
A relaxed TbEuGe crystal. Source: Alexandria via LeMat-Bulk, functional GGA-PBE.

Geometry as extended XYZ:
```
3
Lattice="-1.963 1.963 5.310 1.963 -1.963 5.310 1.963 1.963 -5.310" Properties=species:S:1:pos:R:3 pbc="T T T"
Tb 0.000 0.000 0.000
Eu 0.000 0.000 7.579
Ge 0.000 0.000 4.098
```

Results
Energy, eV/atom: -6.887
Density of states at the Fermi level, states/eV/atom: 1.06
DFT formation energy, meV/atom: -379
SG: I4mm, No. 107

***

[20]
A relaxed Ba5Ag2Au crystal. Source: Alexandria via LeMat-Bulk, functional GGA-PBE.

Geometry as extended XYZ:
```
16
Lattice="9.948 -4.029 0.000 9.948 4.029 0.000 -1.118 0.000 8.921" Properties=species:S:1:pos:R:3 pbc="T T T"
Ba 9.110 3.440 6.691
Ba 3.860 0.676 2.780
Ba 3.300 -0.676 7.241
Ba 7.990 0.819 0.715
Ba 11.347 0.819 3.746
Ba 7.431 -0.819 5.176
Ba 10.788 -0.819 8.206
Ba 15.478 0.676 1.680
Ba 14.919 -0.676 6.141
Ba 9.669 -3.440 2.230
Ag 7.463 2.398 3.777
Ag 11.874 2.398 0.684
Ag 6.904 -2.398 8.238
Ag 11.315 -2.398 5.144
Au 4.974 2.015 0.000
Au 4.415 -2.015 4.461
```

Results
Energy, eV/atom: -2.639
Density of states at the Fermi level, states/eV/atom: 0.77
DFT formation energy, meV/atom: -315
SG: C2/c, No. 15

***

[21]
A relaxed HoSi3 crystal. Source: Alexandria via LeMat-Bulk, functional GGA-PBE.

Geometry as extended XYZ:
```
4
Lattice="4.131 0.000 0.000 0.000 4.131 0.000 0.000 0.000 4.131" Properties=species:S:1:pos:R:3 pbc="T T T"
Ho 0.000 0.000 0.000
Si 0.000 2.066 2.066
Si 2.066 0.000 2.066
Si 2.066 2.066 0.000
```

Results
Energy, eV/atom: -5.395
Energy relative to the elements, uncorrected, meV/atom: -184
Density of states at the Fermi level, states/eV/atom: 0.61
SG: Pm-3m, No. 221

***

[22]
A relaxed RbZrCu2 crystal. Source: Alexandria via LeMat-Bulk, functional GGA-PBE.

Geometry as extended XYZ:
```
4
Lattice="0.000 3.538 3.538 3.538 0.000 3.538 3.538 3.538 0.000" Properties=species:S:1:pos:R:3 pbc="T T T"
Rb 0.000 0.000 0.000
Zr 3.538 3.538 3.538
Cu 1.769 1.769 1.769
Cu 5.307 5.307 5.307
```

Results
Offset from the most stable computed form, eV/atom: 0.000
Energy, eV/atom: -3.543
Density of states at the Fermi level, states/eV/atom: 1.07
DFT formation energy, meV/atom: 884
SG: Fm-3m, No. 225